# 1
PBE-GGA Sr2AuS, relaxed; formation energy (no corrections) = -1.27 eV/atom; mass density = 5.5 Mg/m³; magnetic moment = 0.00 μB per atom; VASP energy = -3.9583 eV/atom
1.0
-1.9135 3.6050 -1.3290
0.0159 1.0274 -4.1675
-7.1830 -2.2905 -2.8024
Au Sr S
1 2 1
Direct
0.6666 0.6666 0.0001
0.2468 0.2468 0.2596
0.0862 0.0862 0.7413
0.5003 0.5003 0.4990

***

# 2
PBE-GGA TaMn4P, relaxed; mass density = 9.6 Mg/m³; ΔE_f = 0.083 eV per atom; magnetic moment = 0.64 μB per atom; VASP energy = -8.9076 eV/atom
1.0
-3.3917 -0.9685 3.1501
-1.0066 3.1062 3.4210
-4.0773 2.3936 -0.1043
Mn Ta P
4 1 1
Direct
0.3758 0.8725 0.3758
0.3758 0.3758 0.8725
0.3758 0.3758 0.3758
0.8725 0.3758 0.3758
0.0000 0.0000 0.0000
0.7500 0.7500 0.7500

***

# 3
PBE-GGA Y3ScZn, relaxed; excess energy over the best structure of this formula in the dataset = 0.4081 eV/atom; mass density = 3.9 Mg/m³; ΔE_f = 0.278 eV per atom; magnetic moment = 0.00 μB per atom; VASP energy = -5.1220 eV/atom
1.0
5.4346 0.0000 0.0000
0.0000 5.4346 0.0000
0.0000 0.0000 5.4346
Y Zn Sc
3 1 1
Direct
0.0000 0.0000 0.5000
0.5000 0.0000 0.0000
0.0000 0.5000 0.0000
0.0000 0.0000 0.0000
0.5000 0.5000 0.5000

***

# 4
PBE-GGA Ac3BiAuN, relaxed; formation energy (no corrections) = -0.90 eV/atom; mass density = 8.4 Mg/m³; magnetic moment = 0.00 μB per atom; VASP energy = -5.5310 eV/atom
1.0
-4.4301 -0.4935 0.3338
-0.6952 -0.3773 -9.7837
1.2788 -9.7971 2.4867
N Ac Bi Au
2 6 2 2
Direct
0.2500 0.0839 0.6025
0.7500 0.9161 0.3975
0.7500 0.1586 0.5158
0.2500 0.8414 0.4842
0.7500 0.8948 0.1635
0.7500 0.4155 0.1557
0.2500 0.1052 0.8365
0.2500 0.5845 0.8443
0.7500 0.8254 0.7787
0.2500 0.1746 0.2213
0.2500 0.6482 0.1566
0.7500 0.3518 0.8434

***

# 5
PBE-GGA LiB3Os, relaxed; excess energy over the best structure of this formula in the dataset = 1.4250 eV/atom; mass density = 8.8 Mg/m³; ΔE_f = 1.905 eV per atom; magnetic moment = 0.00 μB per atom; VASP energy = -4.7298 eV/atom
1.0
-1.0644 2.3824 2.3556
1.2379 -2.0170 2.5993
3.1132 1.6166 -0.2283
Li B Os
1 3 1
Direct
0.0000 0.0000 0.0000
0.5000 0.0000 0.0000
0.0000 0.5000 0.0000
0.0000 0.0000 0.5000
0.5000 0.5000 0.5000

***

# 6
PBE-GGA PrSn2Bi2, relaxed; mass density = 8.8 Mg/m³; ΔE_f = -0.361 eV per atom; magnetic moment = 0.00 μB per atom; VASP energy = -4.4704 eV/atom
1.0
4.6426 0.0000 0.0000
0.0000 4.7591 0.0000
-2.3213 0.0000 13.5828
Pr Sn Bi
2 4 4
Direct
0.3484 0.2500 0.6968
0.6516 0.7500 0.3032
0.0456 0.7500 0.0912
0.4508 0.7500 0.9016
0.9544 0.2500 0.9088
0.5492 0.2500 0.0984
0.2507 0.7500 0.5015
0.7492 0.2500 0.4985
0.8596 0.7500 0.7193
0.1404 0.2500 0.2807

***

# 7
PBE-GGA LiDyAg2, relaxed; excess energy over the best structure of this formula in the dataset = 0.0006 eV/atom; mass density = 7.8 Mg/m³; ΔE_f = -0.229 eV per atom; magnetic moment = 0.00 μB per atom; VASP energy = -3.2838 eV/atom
1.0
-2.3659 2.4147 0.8349
-2.5422 -2.1116 -1.0969
-0.4920 -2.6202 6.1839
Ag Li Dy
2 1 1
Direct
0.0000 0.0000 0.7844
0.0000 0.0000 0.2156
0.5000 0.5000 0.0000
0.5000 0.5000 0.5000

***

# 8
PBE-GGA Tc3SeS, relaxed; formation energy (no corrections) = 0.71 eV/atom; excess energy over the best structure of this formula in the dataset = 0.0000 eV/atom; mass density = 7.9 Mg/m³; magnetic moment = 0.23 μB per atom; VASP energy = -7.0360 eV/atom
1.0
4.3968 0.0000 0.0000
0.0000 4.3968 0.0000
0.0000 0.0000 4.3968
Tc S Se
3 1 1
Direct
0.5000 0.0000 0.0000
0.0000 0.5000 0.0000
0.0000 0.0000 0.5000
0.0000 0.0000 0.0000
0.5000 0.5000 0.5000

***

# 9
PBE-GGA Cu2Br6Cl, relaxed; formation energy (no corrections) = -0.03 eV/atom; excess energy over the best structure of this formula in the dataset = 0.0842 eV/atom; mass density = 4.0 Mg/m³; magnetic moment = 0.00 μB per atom; VASP energy = -2.2646 eV/atom
1.0
-5.4290 4.3737 2.3035
-3.3750 -2.1964 -7.6641
-3.5136 -7.5873 2.2451
Br Cu Cl
12 4 2
Direct
0.8263 0.2274 0.0462
0.1737 0.7726 0.9538
0.6167 0.3176 0.4587
0.1167 0.4587 0.3176
0.1390 0.0849 0.6008
0.6737 0.9538 0.7726
0.8833 0.5413 0.6824
0.3610 0.3992 0.9151
0.8610 0.9151 0.3992
0.3263 0.0462 0.2274
0.6390 0.6008 0.0849
0.3833 0.6824 0.5413
0.7122 0.7620 0.6235
0.7878 0.3765 0.2380
0.2878 0.2380 0.3765
0.2122 0.6235 0.7620
0.7500 0.9001 0.0999
0.2500 0.0999 0.9001